1.
Density functional theory data (PBE) for a relaxed LuAlNiRh crystal.

abc: 4.466 4.466 4.466
angles: 60.00 60.00 60.00
Fractional positions:
Lu 0.000 0.000 0.000
Al 0.500 0.500 0.500
Ni 0.750 0.750 0.750
Rh 0.250 0.250 0.250

Properties
DOS at the Fermi energy	2.3	states/eV per cell
mass density	9.6	g/cm3
E_tot	-6.092	eV/atom

=====

2.
Density functional theory data (PBE) for a relaxed ZrTe2CN crystal.

abc: 5.742 5.742 3.986
angles: 90.00 90.00 90.00
Fractional positions:
Zr 0.000 0.000 0.000
Te 0.000 0.500 0.000
Te 0.500 0.000 0.000
C 0.500 0.500 0.500
N 0.000 0.000 0.500

Properties
DOS at the Fermi energy	4.5	states/eV per cell
mass density	4.7	g/cm3
formation energy from raw total energies	1.419	eV per atom
distance to the lowest polymorph of the same formula	2.52	eV per formula unit

=====

What is the DOS at the Fermi energy in the first record? 2.3 states/eV per cell